1.
This record from Alexandria describes BaAuC3 at its PBEsol-relaxed geometry. The functional is SCAN.

Lattice parameters (Å, degrees): 4.5845 4.5845 4.5845 90.00 90.00 90.00
With the nearest neighbours (Å) after each atom.
Space group Pm-3m (No. 221)
Asymmetric unit:
Ba  0.0000  0.0000  0.0000 x1  6 C 2.29
Au  0.5000  0.5000  0.5000 x1  12 C 3.24
C  0.0000  0.0000  0.5000 x3  2 Ba 2.29

Output
As for the energy of formation from the pure elements: 3.98 eV/atom. The density of states at the Fermi level comes out at 0.89 states/eV per atom.


2.
This record from Alexandria describes BaAuC2 at its PBEsol-relaxed geometry. The functional is SCAN.

Lattice parameters (Å, degrees): 6.3947 6.3947 6.3947 90.00 90.00 90.00
With the nearest neighbours (Å) after each atom.
Space group Fm-3m (No. 225)
Asymmetric unit:
Ba  0.0000  0.0000  0.0000 x4  8 C 2.77
Au  0.0000  0.0000  0.5000 x4  8 C 2.77
C  0.2500  0.2500  0.2500 x8  4 Ba 2.77, 4 Au 2.77

Output
As for the energy of formation from the pure elements: 2.03 eV/atom. The density of states at the Fermi level comes out at 0.61 states/eV per atom.


3.
This record from Alexandria describes BaCaAu2 at its PBEsol-relaxed geometry. The functional is SCAN.

Lattice parameters (Å, degrees): 4.9953 4.9953 15.8853 90.00 90.00 120.00
With the nearest neighbours (Å) after each atom.
Space group R-3m (No. 166, hexagonal axes)
Asymmetric unit:
Ba  0.0000  0.0000  0.0000 x3  8 Au 3.36-3.47
Ca  0.0000  0.0000  0.5000 x3  6 Au 2.97
Au  0.0000  0.0000  0.2115 x6  3 Ca 2.97, 3 Au 3.22

Output
As for the energy of formation from the pure elements: -0.85 eV/atom. The density of states at the Fermi level comes out at 0.62 states/eV per atom.


4.
This record from Alexandria describes BaCa3Au at its PBEsol-relaxed geometry. The functional is SCAN.

Lattice parameters (Å, degrees): 5.8057 5.8057 5.8057 90.00 90.00 90.00
With the nearest neighbours (Å) after each atom.
Space group Pm-3m (No. 221)
Asymmetric unit:
Ba  0.0000  0.0000  0.0000 x1  12 Ca 4.11
Ca  0.0000  0.5000  0.5000 x3  2 Au 2.90
Au  0.5000  0.5000  0.5000 x1  6 Ca 2.90

Output
As for the energy of formation from the pure elements: -0.45 eV/atom. The density of states at the Fermi level comes out at 0.91 states/eV per atom.


Number 1: electronic total energy -0.8754 hartree per atom. Number 2: electronic total energy -1.1095 hartree per atom. Number 3: electronic total energy -1.7542 hartree per atom. Number 4: electronic total energy -1.0285 hartree per atom.